## 1
This record from the Alexandria database describes crystalline Sm3DyEr at its relaxed geometry. The functional is PBE. Values from VASP.

```
&SYSTEM
  ibrav = 0, nat = 10, ntyp = 3
/
ATOMIC_SPECIES
Sm 150.36 Sm.upf
Dy 162.50 Dy.upf
Er 167.26 Er.upf
CELL_PARAMETERS angstrom
6.301 0.000 0.000
0.000 5.742 0.000
-3.146 0.000 9.110
ATOMIC_POSITIONS angstrom
Sm -1.049 1.435 3.639
Sm 1.052 4.306 0.001
Sm 2.094 1.435 1.829
Sm 1.061 4.306 7.281
Sm 2.103 1.435 9.109
Sm 4.204 4.306 5.471
Dy 1.044 4.306 3.648
Dy 2.111 1.435 5.462
Er -1.033 1.435 7.275
Er 4.188 4.306 1.835
```

***

## 2
This record from the Alexandria database describes crystalline Sm3DyEr at its relaxed geometry. The functional is PBE. Values from VASP.

```
&SYSTEM
  ibrav = 0, nat = 10, ntyp = 3
/
ATOMIC_SPECIES
Sm 150.36 Sm.upf
Dy 162.50 Dy.upf
Er 167.26 Er.upf
CELL_PARAMETERS angstrom
3.621 0.000 0.000
0.000 11.730 0.000
-1.798 0.000 8.364
ATOMIC_POSITIONS angstrom
Sm 0.009 0.024 2.492
Sm 0.009 5.841 2.492
Sm 0.011 2.932 5.212
Sm 1.812 8.797 3.152
Sm 1.814 5.889 5.872
Sm 1.814 11.706 5.872
Dy -0.011 8.797 0.254
Dy 1.834 2.932 8.110
Er 0.003 8.797 5.862
Er 1.821 2.932 2.502
```

***

How far above the most stable structure does each one sit? In kJ/mol of atoms: 1 0.0; 2 27.3.